{
  "formula": "TmTiTc2",
  "functional": "PBE",
  "state": "relaxed",
  "e_form_mev_per_atom": -153,
  "magnetic_moment_mub_per_fu": 0.00,
  "lattice": [[3.2229, 0.0000, 0.0000], [0.0000, 3.2229, 0.0000], [0.0000, 0.0000, 6.6285]],
  "species": ["Tc", "Tm", "Ti", "Tc"],
  "fractional_positions": [[0.0000, 0.0000, 0.2177], [0.5000, 0.5000, 0.5000], [0.5000, 0.5000, 0.0000], [0.0000, 0.0000, 0.7823]]
}